Entry 1:
Here is crystalline Tb2Nd3Tl2 at its relaxed geometry from Alexandria. Energies are from PBE.

Computed properties:
The energy above the most stable polymorph in this dataset comes out at 2.12 kcal/mol of atoms. Its formation energy is -107 meV per atom.

a b c (Å): 4.9783 24.3649 3.5642
angles (deg): 90.00 90.00 90.00
Closest atoms and distances in Å follow each position.
Fractional coordinates of all 14 atoms:
1 Tb 0.0000 0.2128 0.0000  2 Tb 3.08, 1 Tl 3.41
2 Tb 0.0000 0.7872 0.0000  2 Tb 3.08, 1 Tl 3.41
3 Tb 0.5000 0.2872 0.0000  2 Tb 3.08, 1 Tl 3.41
4 Tb 0.5000 0.7128 0.0000  2 Tb 3.08, 1 Tl 3.41
5 Nd 0.0000 0.3569 0.5000  3 Nd 3.49-3.56, 4 Tb 3.50, 4 Tl 3.51
6 Nd 0.0000 0.5000 0.5000  4 Nd 3.49-3.56, 8 Tl 3.54
7 Nd 0.0000 0.6431 0.5000  3 Nd 3.49-3.56, 4 Tb 3.50, 4 Tl 3.51
8 Nd 0.5000 0.0000 0.5000  4 Nd 3.49-3.56, 8 Tl 3.54
9 Nd 0.5000 0.1431 0.5000  3 Nd 3.49-3.56, 4 Tb 3.50, 4 Tl 3.51
10 Nd 0.5000 0.8569 0.5000  3 Nd 3.49-3.56, 4 Tb 3.50, 4 Tl 3.51
11 Tl 0.0000 0.0727 0.0000  1 Tb 3.41, 8 Nd 3.51-3.54, 3 Tl 3.54-3.56
12 Tl 0.0000 0.9273 0.0000  1 Tb 3.41, 8 Nd 3.51-3.54, 3 Tl 3.54-3.56
13 Tl 0.5000 0.4273 0.0000  1 Tb 3.41, 8 Nd 3.51-3.54, 3 Tl 3.54-3.56
14 Tl 0.5000 0.5727 0.0000  1 Tb 3.41, 8 Nd 3.51-3.54, 3 Tl 3.54-3.56

Entry 2:
Here is crystalline CaSc3Zn at its relaxed geometry from Alexandria. Energies are from PBE.

Computed properties:
The energy above the most stable polymorph in this dataset comes out at 0.00 kcal/mol of atoms. Its formation energy is 201 meV per atom.

a b c (Å): 5.2107 5.2107 5.2107
angles (deg): 90.00 90.00 90.00
Closest atoms and distances in Å follow each position.
Fractional coordinates of all 5 atoms:
1 Ca 0.0000 0.0000 0.0000  12 Sc 3.68
2 Sc 0.0000 0.5000 0.5000  2 Zn 2.61
3 Sc 0.5000 0.0000 0.5000  2 Zn 2.61
4 Sc 0.5000 0.5000 0.0000  2 Zn 2.61
5 Zn 0.5000 0.5000 0.5000  6 Sc 2.61

Entry 3:
Here is crystalline CaHfMg3 at its relaxed geometry from Alexandria. Energies are from PBE.

Computed properties:
The energy above the most stable polymorph in this dataset comes out at 0.00 kcal/mol of atoms. Its formation energy is 820 meV per atom.

a b c (Å): 5.5441 5.5441 5.5441
angles (deg): 90.00 90.00 90.00
Closest atoms and distances in Å follow each position.
Fractional coordinates of all 5 atoms:
1 Ca 0.0000 0.0000 0.0000  12 Mg 3.92
2 Hf 0.5000 0.5000 0.5000  6 Mg 2.77
3 Mg 0.0000 0.5000 0.5000  2 Hf 2.77
4 Mg 0.5000 0.0000 0.5000  2 Hf 2.77
5 Mg 0.5000 0.5000 0.0000  2 Hf 2.77

Entry 4:
Here is crystalline LiMgZrNi at its relaxed geometry from Alexandria. Energies are from PBE.

Computed properties:
Its formation energy is -120 meV per atom.

a b c (Å): 6.3694 6.3694 6.3694
angles (deg): 90.00 90.00 90.00
Closest atoms and distances in Å follow each position.
Fractional coordinates of all 16 atoms:
1 Li 0.0000 0.0000 0.0000  4 Zr 2.76, 4 Mg 2.76
2 Li 0.0000 0.5000 0.5000  4 Zr 2.76, 4 Mg 2.76
3 Li 0.5000 0.0000 0.5000  4 Zr 2.76, 4 Mg 2.76
4 Li 0.5000 0.5000 0.0000  4 Zr 2.76, 4 Mg 2.76
5 Mg 0.2500 0.2500 0.7500  4 Li 2.76, 4 Ni 2.76
6 Mg 0.2500 0.7500 0.2500  4 Li 2.76, 4 Ni 2.76
7 Mg 0.7500 0.2500 0.2500  4 Li 2.76, 4 Ni 2.76
8 Mg 0.7500 0.7500 0.7500  4 Li 2.76, 4 Ni 2.76
9 Zr 0.2500 0.2500 0.2500  4 Li 2.76, 4 Ni 2.76
10 Zr 0.2500 0.7500 0.7500  4 Li 2.76, 4 Ni 2.76
11 Zr 0.7500 0.2500 0.7500  4 Li 2.76, 4 Ni 2.76
12 Zr 0.7500 0.7500 0.2500  4 Li 2.76, 4 Ni 2.76
13 Ni 0.0000 0.0000 0.5000  4 Zr 2.76, 4 Mg 2.76
14 Ni 0.0000 0.5000 0.0000  4 Zr 2.76, 4 Mg 2.76
15 Ni 0.5000 0.0000 0.0000  4 Zr 2.76, 4 Mg 2.76
16 Ni 0.5000 0.5000 0.5000  4 Zr 2.76, 4 Mg 2.76

Entry 5:
Here is crystalline LiTh2Rh at its relaxed geometry from Alexandria. Energies are from PBE.

Computed properties:
Its formation energy is -59 meV per atom.

a b c (Å): 3.8726 3.8726 31.0626
angles (deg): 90.00 90.00 120.00
Closest atoms and distances in Å follow each position.
Fractional coordinates of all 12 atoms:
1 Li 0.0000 0.0000 0.0000  2 Th 3.47, 6 Li 3.87
2 Li 0.3333 0.6667 0.6667  2 Th 3.47, 6 Li 3.87
3 Li 0.6667 0.3333 0.3333  2 Th 3.47, 6 Li 3.87
4 Th 0.0000 0.0000 0.1117  3 Rh 2.81
5 Th 0.0000 0.0000 0.8883  3 Rh 2.81
6 Th 0.3333 0.6667 0.5550  3 Rh 2.81
7 Th 0.3333 0.6667 0.7784  3 Rh 2.81
8 Th 0.6667 0.3333 0.2216  3 Rh 2.81
9 Th 0.6667 0.3333 0.4450  3 Rh 2.81
10 Rh 0.0000 0.0000 0.5000  6 Th 2.81
11 Rh 0.3333 0.6667 0.1667  6 Th 2.81
12 Rh 0.6667 0.3333 0.8333  6 Th 2.81

Entry 6:
Here is crystalline MgI2 at its relaxed geometry from Alexandria. Energies are from PBE.

Computed properties:
The formation energy without anion corrections is -1045 meV per atom.

a b c (Å): 4.2039 4.2039 30.9358
angles (deg): 90.00 90.00 120.00
Closest atoms and distances in Å follow each position.
Fractional coordinates of all 12 atoms:
1 Mg 0.0000 0.0000 0.0000  6 I 2.95
2 Mg 0.0000 0.0000 0.5000  6 I 2.95
3 Mg 0.3333 0.6667 0.2498  6 I 2.95
4 Mg 0.6667 0.3333 0.7502  6 I 2.95
5 I 0.0000 0.0000 0.3040  3 Mg 2.95
6 I 0.0000 0.0000 0.6960  3 Mg 2.95
7 I 0.3333 0.6667 0.0542  3 Mg 2.95
8 I 0.3333 0.6667 0.5542  3 Mg 2.95
9 I 0.3333 0.6667 0.8044  3 Mg 2.95
10 I 0.6667 0.3333 0.1956  3 Mg 2.95
11 I 0.6667 0.3333 0.4458  3 Mg 2.95
12 I 0.6667 0.3333 0.9458  3 Mg 2.95

Entry 7:
Here is crystalline ZrScCl at its relaxed geometry from Alexandria. Energies are from PBE.

Computed properties:
The energy above the most stable polymorph in this dataset comes out at 14.31 kcal/mol of atoms. The formation energy without anion corrections is -97 meV per atom.

a b c (Å): 4.7206 4.7206 3.3653
angles (deg): 90.00 90.00 120.00
Closest atoms and distances in Å follow each position.
Fractional coordinates of all 3 atoms:
1 Zr 0.0000 0.0000 0.0000  3 Cl 2.73
2 Sc 0.3333 0.6667 0.5000  6 Zr 3.20, 6 Cl 3.20, 2 Sc 3.37
3 Cl 0.6667 0.3333 0.0000  3 Zr 2.73

Entry 8:
Here is crystalline Er2Sc7Cd2 at its relaxed geometry from Alexandria. Energies are from PBE.

Computed properties:
Its formation energy is -14 meV per atom.

a b c (Å): 6.1127 6.1127 7.8970
angles (deg): 102.08 102.08 98.10
Closest atoms and distances in Å follow each position.
Fractional coordinates of all 11 atoms:
1 Er 0.1882 0.8118 0.0000  2 Cd 3.05, 6 Sc 3.17-3.24
2 Er 0.8118 0.1882 0.0000  2 Cd 3.05, 6 Sc 3.17-3.24
3 Sc 0.0205 0.3774 0.6726  3 Cd 3.03-3.30, 1 Er 3.17, 2 Sc 3.30-3.36
4 Sc 0.3584 0.3584 0.0813  2 Sc 2.94-3.13, 1 Cd 3.16, 4 Er 3.23-3.24
5 Sc 0.3774 0.0205 0.6726  3 Cd 3.03-3.30, 1 Er 3.17, 2 Sc 3.30-3.36
6 Sc 0.5000 0.5000 0.5000  2 Cd 2.89, 2 Sc 3.13
7 Sc 0.6226 0.9795 0.3274  3 Cd 3.03-3.30, 1 Er 3.17, 2 Sc 3.30-3.36
8 Sc 0.6416 0.6416 0.9187  2 Sc 2.94-3.13, 1 Cd 3.16, 4 Er 3.23-3.24
9 Sc 0.9795 0.6226 0.3274  3 Cd 3.03-3.30, 1 Er 3.17, 2 Sc 3.30-3.36
10 Cd 0.1226 0.1226 0.3348  6 Sc 2.89-3.16, 2 Er 3.05
11 Cd 0.8774 0.8774 0.6652  6 Sc 2.89-3.16, 2 Er 3.05

Entry 9:
Here is crystalline K3U3BeSe8 at its relaxed geometry from Alexandria. Energies are from PBE.

Computed properties:
The formation energy without anion corrections is -1072 meV per atom.

a b c (Å): 8.2720 8.2720 9.2317
angles (deg): 117.59 117.59 58.70
Closest atoms and distances in Å follow each position.
Fractional coordinates of all 15 atoms:
1 K 0.0000 0.0000 0.0000  6 Se 3.29-3.37
2 K 0.0000 0.5000 0.0000  6 Se 3.28-3.39
3 K 0.5000 0.0000 0.0000  6 Se 3.28-3.39
4 U 0.0000 0.5000 0.5000  6 Se 2.81-2.89
5 U 0.5000 0.0000 0.5000  6 Se 2.81-2.89
6 U 0.5000 0.5000 0.5000  6 Se 2.89
7 Be 0.0000 0.0000 0.5000  4 Se 2.48
8 Se 0.2012 0.7676 0.6756  1 Be 2.48
9 Se 0.2324 0.7988 0.3244  1 Be 2.48
10 Se 0.2586 0.2586 0.7179  2 U 2.81
11 Se 0.2641 0.2641 0.2900  3 U 2.89
12 Se 0.7359 0.7359 0.7100  3 U 2.89
13 Se 0.7414 0.7414 0.2821  2 U 2.81
14 Se 0.7676 0.2012 0.6756  1 Be 2.48
15 Se 0.7988 0.2324 0.3244  1 Be 2.48

Entry 10:
Here is crystalline Ho5InRu4 at its relaxed geometry from Alexandria. Energies are from PBE.

Computed properties:
Its formation energy is -415 meV per atom.

a b c (Å): 3.4103 3.4103 17.9456
angles (deg): 90.00 90.00 90.00
Closest atoms and distances in Å follow each position.
Fractional coordinates of all 10 atoms:
1 Ho 0.0000 0.0000 0.0000  8 Ru 2.95
2 Ho 0.0000 0.0000 0.1865  8 Ru 2.92-3.00
3 Ho 0.0000 0.0000 0.3725  4 Ru 2.87
4 Ho 0.0000 0.0000 0.6275  4 Ru 2.87
5 Ho 0.0000 0.0000 0.8135  8 Ru 2.92-3.00
6 In 0.5000 0.5000 0.5000  8 Ho 3.32, 4 In 3.41
7 Ru 0.5000 0.5000 0.0947  8 Ho 2.92-2.95
8 Ru 0.5000 0.5000 0.2857  8 Ho 2.87-3.00
9 Ru 0.5000 0.5000 0.7143  8 Ho 2.87-3.00
10 Ru 0.5000 0.5000 0.9053  8 Ho 2.92-2.95

Entry 11:
Here is crystalline Rb4Pr3PbO8 at its relaxed geometry from Alexandria. Energies are from PBE.

Computed properties:
The formation energy without anion corrections is -2156 meV per atom.

a b c (Å): 7.8837 7.8837 7.8837
angles (deg): 55.80 55.80 55.80
Closest atoms and distances in Å follow each position.
Fractional coordinates of all 16 atoms:
1 Rb 0.0000 0.0000 0.0000  6 O 2.95
2 Rb 0.0000 0.5000 0.5000  6 O 2.98-3.00
3 Rb 0.5000 0.0000 0.5000  6 O 2.98-3.00
4 Rb 0.5000 0.5000 0.0000  6 O 2.98-3.00
5 Pr 0.0000 0.0000 0.5000  6 O 2.44-2.45
6 Pr 0.0000 0.5000 0.0000  6 O 2.44-2.45
7 Pr 0.5000 0.0000 0.0000  6 O 2.44-2.45
8 Pb 0.5000 0.5000 0.5000  6 O 2.49
9 O 0.2245 0.7313 0.7313  2 Pr 2.45, 1 Pb 2.49
10 O 0.2269 0.2269 0.2269  3 Pr 2.44
11 O 0.2687 0.2687 0.7755  2 Pr 2.45, 1 Pb 2.49
12 O 0.2687 0.7755 0.2687  2 Pr 2.45, 1 Pb 2.49
13 O 0.7313 0.2245 0.7313  2 Pr 2.45, 1 Pb 2.49
14 O 0.7313 0.7313 0.2245  2 Pr 2.45, 1 Pb 2.49
15 O 0.7731 0.7731 0.7731  3 Pr 2.44
16 O 0.7755 0.2687 0.2687  2 Pr 2.45, 1 Pb 2.49

Entry 12:
Here is crystalline Zn2NiOs at its relaxed geometry from Alexandria. Energies are from PBE.

Computed properties:
Its formation energy is 238 meV per atom.

a b c (Å): 5.9759 5.9759 5.9759
angles (deg): 90.00 90.00 90.00
Closest atoms and distances in Å follow each position.
Fractional coordinates of all 16 atoms:
1 Zn 0.0000 0.0000 0.0000  4 Ni 2.59, 4 Zn 2.59
2 Zn 0.0000 0.5000 0.5000  4 Ni 2.59, 4 Zn 2.59
3 Zn 0.2500 0.2500 0.2500  4 Os 2.59, 4 Zn 2.59
4 Zn 0.2500 0.7500 0.7500  4 Os 2.59, 4 Zn 2.59
5 Zn 0.5000 0.0000 0.5000  4 Ni 2.59, 4 Zn 2.59
6 Zn 0.5000 0.5000 0.0000  4 Ni 2.59, 4 Zn 2.59
7 Zn 0.7500 0.2500 0.7500  4 Os 2.59, 4 Zn 2.59
8 Zn 0.7500 0.7500 0.2500  4 Os 2.59, 4 Zn 2.59
9 Ni 0.2500 0.2500 0.7500  4 Os 2.59, 4 Zn 2.59
10 Ni 0.2500 0.7500 0.2500  4 Os 2.59, 4 Zn 2.59
11 Ni 0.7500 0.2500 0.2500  4 Os 2.59, 4 Zn 2.59
12 Ni 0.7500 0.7500 0.7500  4 Os 2.59, 4 Zn 2.59
13 Os 0.0000 0.0000 0.5000  4 Ni 2.59, 4 Zn 2.59
14 Os 0.0000 0.5000 0.0000  4 Ni 2.59, 4 Zn 2.59
15 Os 0.5000 0.0000 0.0000  4 Ni 2.59, 4 Zn 2.59
16 Os 0.5000 0.5000 0.5000  4 Ni 2.59, 4 Zn 2.59

Entry 13:
Here is crystalline Na2TlPbF8 at its relaxed geometry from Alexandria. Energies are from PBE.

Computed properties:
The formation energy without anion corrections is -2245 meV per atom.

a b c (Å): 3.9025 5.5743 7.7798
angles (deg): 90.00 90.00 90.00
Closest atoms and distances in Å follow each position.
Fractional coordinates of all 12 atoms:
1 Na 0.0000 0.0000 0.2419  8 F 2.40-2.50
2 Na 0.0000 0.0000 0.7581  8 F 2.40-2.50
3 Tl 0.5000 0.5000 0.0000  8 F 2.32-2.34
4 Pb 0.5000 0.5000 0.5000  8 F 2.34-2.38
5 F 0.0000 0.2669 0.0000  2 Tl 2.34, 2 Na 2.40, 1 F 2.60
6 F 0.0000 0.2671 0.5000  2 Pb 2.34, 2 Na 2.50, 1 F 2.60
7 F 0.0000 0.7331 0.0000  2 Tl 2.34, 2 Na 2.40, 1 F 2.60
8 F 0.0000 0.7329 0.5000  2 Pb 2.34, 2 Na 2.50, 1 F 2.60
9 F 0.5000 0.2639 0.2451  1 Tl 2.32, 1 Pb 2.38, 2 Na 2.44
10 F 0.5000 0.2639 0.7549  1 Tl 2.32, 1 Pb 2.38, 2 Na 2.44
11 F 0.5000 0.7361 0.2451  1 Tl 2.32, 1 Pb 2.38, 2 Na 2.44
12 F 0.5000 0.7361 0.7549  1 Tl 2.32, 1 Pb 2.38, 2 Na 2.44

Entry 14:
Here is crystalline Yb3TlC at its relaxed geometry from Alexandria. Energies are from PBE.

Computed properties:
Its formation energy is 1276 meV per atom.

a b c (Å): 5.9517 5.9517 5.9517
angles (deg): 90.00 90.00 90.00
Closest atoms and distances in Å follow each position.
Fractional coordinates of all 5 atoms:
1 Yb 0.0000 0.0000 0.5000  2 Tl 2.98
2 Yb 0.0000 0.5000 0.0000  2 Tl 2.98
3 Yb 0.5000 0.0000 0.0000  2 Tl 2.98
4 Tl 0.0000 0.0000 0.0000  6 Yb 2.98
5 C 0.5000 0.5000 0.5000  12 Yb 4.21

Entry 15:
Here is crystalline Ba4SbI2Cl at its relaxed geometry from Alexandria. Energies are from PBE.

Computed properties:
The formation energy without anion corrections is -1466 meV per atom.

a b c (Å): 8.3058 4.9484 8.7433
angles (deg): 90.00 109.40 90.00
Closest atoms and distances in Å follow each position.
Fractional coordinates of all 8 atoms:
1 Ba 0.2412 0.0000 0.2239  1 Sb 3.35, 2 Cl 3.37, 3 I 3.61-3.62
2 Ba 0.2558 0.5000 0.7760  1 Cl 3.33, 2 Sb 3.38, 3 I 3.61-3.63
3 Ba 0.7442 0.5000 0.2240  1 Cl 3.33, 2 Sb 3.38, 3 I 3.61-3.63
4 Ba 0.7588 0.0000 0.7761  1 Sb 3.35, 2 Cl 3.37, 3 I 3.61-3.62
5 Sb 0.5000 0.0000 0.0000  6 Ba 3.35-3.38
6 I 0.0000 0.0000 0.5000  6 Ba 3.61
7 I 0.5000 0.5000 0.5000  6 Ba 3.62-3.63
8 Cl 0.0000 0.5000 0.0000  6 Ba 3.33-3.37

Entry 16:
Here is crystalline HoCuBi at its relaxed geometry from Alexandria. Energies are from PBE.

Computed properties:
Its formation energy is -367 meV per atom.

a b c (Å): 3.4646 4.3783 10.2120
angles (deg): 90.08 99.22 90.27
Closest atoms and distances in Å follow each position.
Fractional coordinates of all 6 atoms:
1 Ho 0.0823 0.2508 0.1722  6 Cu 2.94-3.01
2 Ho 0.9177 0.7492 0.8278  6 Cu 2.94-3.01
3 Cu 0.4696 0.2497 0.9364  2 Cu 2.54
4 Cu 0.5304 0.7503 0.0636  2 Cu 2.54
5 Bi 0.3337 0.2487 0.6511  1 Cu 2.88
6 Bi 0.6663 0.7513 0.3489  1 Cu 2.88

Entry 17:
Here is crystalline LaTb2Nd at its relaxed geometry from Alexandria. Energies are from PBE.

Computed properties:
The energy above the most stable polymorph in this dataset comes out at 0.27 kcal/mol of atoms. Its formation energy is 23 meV per atom.

a b c (Å): 3.6480 3.6480 35.5174
angles (deg): 90.00 90.00 120.00
Closest atoms and distances in Å follow each position.
Fractional coordinates of all 12 atoms:
1 La 0.0000 0.0000 0.0000  6 La 3.65, 6 Tb 3.66-3.69
2 La 0.3333 0.6667 0.6667  6 La 3.65, 6 Tb 3.66-3.69
3 La 0.6667 0.3333 0.3333  6 La 3.65, 6 Tb 3.66-3.69
4 Tb 0.0000 0.0000 0.2491  3 Nd 3.59, 6 Tb 3.65, 3 La 3.66
5 Tb 0.0000 0.0000 0.4186  3 Nd 3.59, 6 Tb 3.65, 3 La 3.69
6 Tb 0.3333 0.6667 0.0853  3 Nd 3.59, 6 Tb 3.65, 3 La 3.69
7 Tb 0.3333 0.6667 0.9158  3 Nd 3.59, 6 Tb 3.65, 3 La 3.66
8 Tb 0.6667 0.3333 0.5825  3 Nd 3.59, 6 Tb 3.65, 3 La 3.66
9 Tb 0.6667 0.3333 0.7520  3 Nd 3.59, 6 Tb 3.65, 3 La 3.69
10 Nd 0.0000 0.0000 0.8340  6 Tb 3.59, 6 Nd 3.65
11 Nd 0.3333 0.6667 0.5006  6 Tb 3.59, 6 Nd 3.65
12 Nd 0.6667 0.3333 0.1673  6 Tb 3.59, 6 Nd 3.65

Entry 18:
Here is crystalline HoPaHgO6 at its relaxed geometry from Alexandria. Energies are from PBE.

Computed properties:
The formation energy without anion corrections is -2198 meV per atom.

a b c (Å): 5.6217 5.6217 4.9149
angles (deg): 90.00 90.00 120.00
Closest atoms and distances in Å follow each position.
Fractional coordinates of all 9 atoms:
1 Ho 0.0000 0.0000 0.0000  6 O 2.27
2 Pa 0.3333 0.6667 0.5000  6 O 2.18
3 Hg 0.6667 0.3333 0.0000  6 O 2.28
4 O 0.0153 0.3466 0.2488  1 Pa 2.18, 1 Ho 2.27, 1 Hg 2.28
5 O 0.0153 0.6686 0.7512  1 Pa 2.18, 1 Ho 2.27, 1 Hg 2.28
6 O 0.3314 0.3466 0.7512  1 Pa 2.18, 1 Ho 2.27, 1 Hg 2.28
7 O 0.3314 0.9847 0.2488  1 Pa 2.18, 1 Ho 2.27, 1 Hg 2.28
8 O 0.6534 0.6686 0.2488  1 Pa 2.18, 1 Ho 2.27, 1 Hg 2.28
9 O 0.6534 0.9847 0.7512  1 Pa 2.18, 1 Ho 2.27, 1 Hg 2.28

N(E_F) values, unit states/eV/f.u., following the record order: 7.8, 11.5, 5.6, 4.9, 5.0, 0.0, 3.9, 13.2, 13.1, 6.5, 2.5, 5.5, 0.9, 47.4, 4.2, 1.3, 5.9, 5.8.